(1)
Material: SrGa4Pt6
Method: DFT, PBE
State: optimized geometry

Unit cell a=7.4036 b=7.4036 c=3.9849 alpha=90.00 beta=90.00 gamma=120.00
Closest atoms and distances in Å follow each position.
Space group P-6m2 (No. 187)
Symmetry-distinct sites (fractional):
Sr 0.0000 0.0000 0.0000 [1 per cell]  6 Ga 3.23, 6 Pt 3.25
Ga 0.3333 0.6667 0.0000 [1 per cell]  9 Pt 2.56-2.63
Ga 0.3965 0.1982 0.5000 [3 per cell]  6 Pt 2.55-2.63
Pt 0.1999 0.3998 0.5000 [3 per cell]  4 Ga 2.55-2.63
Pt 0.5332 0.0665 0.0000 [3 per cell]  5 Ga 2.56-2.63

Summary:
* energy relative to the elements: -8.20 eV/f.u.
* energy above the lowest structure with this stoichiometry: 0 meV/atom
* density of states at the Fermi level: 3.46 states/eV/cell

---

(2)
Material: SrGa4Pt3
Method: DFT, PBE
State: optimized geometry

Unit cell a=4.3373 b=4.3373 c=8.3518 alpha=90.00 beta=90.00 gamma=90.00
Closest atoms and distances in Å follow each position.
Space group P4/mmm (No. 123)
Symmetry-distinct sites (fractional):
Sr 0.0000 0.0000 0.0000 [1 per cell]  8 Pt 3.36, 8 Ga 3.48
Ga 0.0000 0.5000 0.3266 [4 per cell]  4 Pt 2.56-2.61
Pt 0.0000 0.0000 0.5000 [1 per cell]  8 Ga 2.61
Pt 0.5000 0.5000 0.1641 [2 per cell]  4 Ga 2.56, 1 Pt 2.74

Summary:
* energy relative to the elements: -5.86 eV/f.u.
* density of states at the Fermi level: 4.78 states/eV/cell

---

(3)
Material: Sr3Ga2Pt2
Method: DFT, PBE
State: optimized geometry

Unit cell a=6.1259 b=8.2545 c=14.2680 alpha=90.00 beta=90.00 gamma=90.00
Closest atoms and distances in Å follow each position.
Space group Pbcm (No. 57)
Symmetry-distinct sites (fractional):
Sr 0.1358 0.2381 0.2500 [4 per cell]  3 Ga 3.15-3.45, 4 Pt 3.27-3.28
Sr 0.3574 0.6069 0.5983 [8 per cell]  4 Pt 3.13-3.32, 3 Ga 3.27-3.40
Ga 0.1107 0.2500 0.0000 [4 per cell]  4 Pt 2.66-2.71
Ga 0.3394 0.5879 0.2500 [4 per cell]  2 Pt 2.61
Pt 0.1329 0.5287 0.0933 [8 per cell]  3 Ga 2.61-2.71

Summary:
* energy relative to the elements: -5.36 eV/f.u.
* density of states at the Fermi level: 14.79 states/eV/cell

---

(4)
Material: SrTbGa2Pt2
Method: DFT, PBE
State: optimized geometry

Unit cell a=4.4613 b=4.4613 c=7.7988 alpha=90.00 beta=90.00 gamma=120.00
Closest atoms and distances in Å follow each position.
Space group P-3m1 (No. 164)
Symmetry-distinct sites (fractional):
Sr 0.0000 0.0000 0.0000 [1 per cell]  6 Ga 3.38, 6 Pt 3.44
Tb 0.0000 0.0000 0.5000 [1 per cell]  6 Pt 3.05, 6 Ga 3.09
Ga 0.3333 0.6667 0.7185 [2 per cell]  3 Pt 2.58
Pt 0.3333 0.6667 0.2917 [2 per cell]  3 Ga 2.58

Summary:
* energy relative to the elements: -5.84 eV/f.u.
* density of states at the Fermi level: 1.93 states/eV/cell

---

(5)
Material: Sr2TbGa3Pt4
Method: DFT, PBE
State: optimized geometry

Unit cell a=4.4252 b=4.4252 c=11.1486 alpha=90.00 beta=90.00 gamma=90.00
Closest atoms and distances in Å follow each position.
Space group P-4m2 (No. 115)
Symmetry-distinct sites (fractional):
Sr 0.0000 0.5000 0.2268 [2 per cell]  8 Pt 3.36-3.40, 4 Ga 3.36
Tb 0.0000 0.0000 0.5000 [1 per cell]  4 Pt 2.80, 4 Ga 3.13
Ga 0.0000 0.5000 0.8837 [2 per cell]  5 Pt 2.56
Ga 0.5000 0.5000 0.5000 [1 per cell]  4 Pt 2.80, 4 Tb 3.13
Pt 0.0000 0.0000 0.0000 [1 per cell]  4 Ga 2.56
Pt 0.0000 0.5000 0.6538 [2 per cell]  3 Ga 2.56-2.80, 2 Tb 2.80
Pt 0.5000 0.5000 0.0000 [1 per cell]  4 Ga 2.56

Summary:
* energy relative to the elements: -8.98 eV/f.u.
* density of states at the Fermi level: 7.02 states/eV/cell

---

(6)
Material: Sr2GaTePt
Method: DFT, PBE
State: optimized geometry

Unit cell a=5.8715 b=5.8715 c=4.7677 alpha=90.00 beta=90.00 gamma=90.00
Closest atoms and distances in Å follow each position.
Space group P4/mmm (No. 123)
Symmetry-distinct sites (fractional):
Sr 0.0000 0.5000 0.0000 [2 per cell]  2 Pt 2.94
Ga 0.0000 0.0000 0.5000 [1 per cell]  2 Pt 2.38
Te 0.5000 0.5000 0.5000 [1 per cell]  8 Sr 3.78, 4 Ga 4.15
Pt 0.0000 0.0000 0.0000 [1 per cell]  2 Ga 2.38

Summary:
* energy above the lowest structure with this stoichiometry: 0 meV/atom
* density of states at the Fermi level: 3.05 states/eV/cell

---

(7)
Material: SrGa2TePt
Method: DFT, PBE
State: optimized geometry

Unit cell a=4.8465 b=4.8465 c=6.0303 alpha=90.00 beta=90.00 gamma=90.00
Closest atoms and distances in Å follow each position.
Space group P4/mmm (No. 123)
Symmetry-distinct sites (fractional):
Sr 0.0000 0.0000 0.0000 [1 per cell]  2 Pt 3.02
Ga 0.0000 0.5000 0.5000 [2 per cell]  2 Pt 2.42
Te 0.5000 0.5000 0.0000 [1 per cell]  4 Sr 3.43
Pt 0.0000 0.0000 0.5000 [1 per cell]  4 Ga 2.42

Summary:
* electronic total energy: -4.15 eV per atom
* density of states at the Fermi level: 1.40 states/eV/cell

---

(8)
Material: Sr2GaTePt
Method: DFT, PBE
State: optimized geometry

Unit cell a=6.0949 b=6.0949 c=5.1289 alpha=90.00 beta=90.00 gamma=90.00
Closest atoms and distances in Å follow each position.
Space group P4/mmm (No. 123)
Symmetry-distinct sites (fractional):
Sr 0.0000 0.5000 0.0000 [2 per cell]  2 Te 3.05
Ga 0.0000 0.0000 0.5000 [1 per cell]  2 Te 2.56
Te 0.0000 0.0000 0.0000 [1 per cell]  2 Ga 2.56
Pt 0.5000 0.5000 0.5000 [1 per cell]  8 Sr 3.98, 4 Ga 4.31

Summary:
* energy above the lowest structure with this stoichiometry: 985 meV/atom
* density of states at the Fermi level: 3.95 states/eV/cell

---

(9)
Material: Sr2ThGa3Pt4
Method: DFT, PBE
State: optimized geometry

Unit cell a=4.5077 b=4.5077 c=11.0996 alpha=90.00 beta=90.00 gamma=90.00
Closest atoms and distances in Å follow each position.
Space group P-4m2 (No. 115)
Symmetry-distinct sites (fractional):
Sr 0.0000 0.5000 0.2203 [2 per cell]  8 Pt 3.33-3.47, 5 Ga 3.40-3.70
Th 0.0000 0.0000 0.5000 [1 per cell]  4 Pt 2.84
Ga 0.0000 0.5000 0.8865 [2 per cell]  5 Pt 2.56-2.58
Ga 0.5000 0.5000 0.5000 [1 per cell]  4 Pt 2.84
Pt 0.0000 0.0000 0.0000 [1 per cell]  4 Ga 2.58
Pt 0.0000 0.5000 0.6563 [2 per cell]  3 Ga 2.56-2.84, 2 Th 2.84
Pt 0.5000 0.5000 0.0000 [1 per cell]  4 Ga 2.58

Summary:
* energy relative to the elements: -8.64 eV/f.u.
* density of states at the Fermi level: 6.21 states/eV/cell

---

(10)
Material: Sr2TlGa3Pt4
Method: DFT, PBE
State: optimized geometry

Unit cell a=4.5115 b=4.5115 c=10.5545 alpha=90.00 beta=90.00 gamma=90.00
Closest atoms and distances in Å follow each position.
Space group P-4m2 (No. 115)
Symmetry-distinct sites (fractional):
Sr 0.0000 0.5000 0.2377 [2 per cell]  8 Pt 3.37-3.41, 7 Ga 3.44-3.73, 2 Tl 3.57
Tl 0.0000 0.0000 0.5000 [1 per cell]  4 Pt 2.74
Ga 0.0000 0.5000 0.8846 [2 per cell]  5 Pt 2.50-2.56
Ga 0.5000 0.5000 0.5000 [1 per cell]  4 Pt 2.74
Pt 0.0000 0.0000 0.0000 [1 per cell]  4 Ga 2.56
Pt 0.0000 0.5000 0.6477 [2 per cell]  3 Ga 2.50-2.74, 2 Tl 2.74
Pt 0.5000 0.5000 0.0000 [1 per cell]  4 Ga 2.56

Summary:
* energy relative to the elements: -7.50 eV/f.u.
* density of states at the Fermi level: 2.67 states/eV/cell

---

(11)
Material: Sr2TlGaPt
Method: DFT, PBE
State: optimized geometry

Unit cell a=5.9241 b=5.9241 c=4.8091 alpha=90.00 beta=90.00 gamma=90.00
Closest atoms and distances in Å follow each position.
Space group P4/mmm (No. 123)
Symmetry-distinct sites (fractional):
Sr 0.0000 0.5000 0.0000 [2 per cell]  2 Pt 2.96
Tl 0.0000 0.0000 0.5000 [1 per cell]  8 Sr 3.82, 4 Ga 4.19
Ga 0.5000 0.5000 0.5000 [1 per cell]  2 Pt 2.40
Pt 0.5000 0.5000 0.0000 [1 per cell]  2 Ga 2.40

Summary:
* energy relative to the elements: -2.57 eV/f.u.
* density of states at the Fermi level: 5.14 states/eV/cell

---

(12)
Material: Sr2YGa3Pt4
Method: DFT, PBE
State: optimized geometry

Unit cell a=4.4211 b=4.4211 c=11.1546 alpha=90.00 beta=90.00 gamma=90.00
Closest atoms and distances in Å follow each position.
Space group P-4m2 (No. 115)
Symmetry-distinct sites (fractional):
Sr 0.0000 0.5000 0.2269 [2 per cell]  6 Ga 3.36-3.76, 8 Pt 3.36-3.40, 2 Y 3.76
Y 0.0000 0.0000 0.5000 [1 per cell]  4 Pt 2.80, 4 Ga 3.13
Ga 0.0000 0.5000 0.8836 [2 per cell]  5 Pt 2.56
Ga 0.5000 0.5000 0.5000 [1 per cell]  4 Pt 2.80, 4 Y 3.13
Pt 0.0000 0.0000 0.0000 [1 per cell]  4 Ga 2.56
Pt 0.0000 0.5000 0.6542 [2 per cell]  3 Ga 2.56-2.80, 2 Y 2.80
Pt 0.5000 0.5000 0.0000 [1 per cell]  4 Ga 2.56

Summary:
* energy relative to the elements: -8.96 eV/f.u.
* density of states at the Fermi level: 7.17 states/eV/cell